{"formula": "K2HgBi3", "functional": "PBE-GGA", "state": "relaxed", "delta_e_f_mev_per_atom": -97, "m_tot_mub_per_cell": 1.92, "space_group": "P-3m1", "n_ef_per_ev_cell": 7.0, "cell": [[6.7348, 0.0000, 0.0000], [-3.3674, 5.8325, 0.0000], [0.0000, 0.0000, 12.6624]], "species": ["K", "K", "K", "K", "Hg", "Hg", "Bi", "Bi", "Bi", "Bi", "Bi", "Bi"], "frac_coords": [[0.0000, 0.0000, 0.0000], [0.6667, 0.3333, 0.3968], [0.0000, 0.0000, 0.5000], [0.3333, 0.6667, 0.6032], [0.3333, 0.6667, 0.9361], [0.6667, 0.3333, 0.0639], [0.1540, 0.3081, 0.2556], [0.6919, 0.8460, 0.2556], [0.1540, 0.8460, 0.2556], [0.8460, 0.6919, 0.7444], [0.8460, 0.1540, 0.7444], [0.3081, 0.1540, 0.7444]]}

***

{"formula": "KHg2Bi2", "functional": "PBE-GGA", "state": "relaxed", "delta_e_f_mev_per_atom": -176, "m_tot_mub_per_cell": 0.00, "space_group": "I4/mmm", "de_polymorph_ev_per_atom": 0.0000, "n_ef_per_ev_cell": 2.0, "cell": [[-2.9268, -3.5637, 1.9851], [4.0748, -2.4389, 1.6294], [0.3205, 0.3753, 7.4954]], "species": ["K", "Bi", "Bi", "Hg", "Hg"], "frac_coords": [[0.0000, 0.0000, 0.0000], [0.7500, 0.2500, 0.5000], [0.2500, 0.7500, 0.5000], [0.3949, 0.3949, 0.2101], [0.6051, 0.6051, 0.7899]]}

***

{"formula": "KHg2Bi", "functional": "PBE-GGA", "state": "relaxed", "delta_e_f_mev_per_atom": -149, "m_tot_mub_per_cell": 0.00, "space_group": "P4/mmm", "n_ef_per_ev_cell": 1.5, "cell": [[3.7443, 0.0000, 0.0000], [0.0000, 3.7443, 0.0000], [0.0000, 0.0000, 8.8941]], "species": ["K", "Bi", "Hg", "Hg"], "frac_coords": [[0.5000, 0.5000, 0.5000], [0.5000, 0.5000, 0.0000], [0.0000, 0.0000, 0.7618], [0.0000, 0.0000, 0.2382]]}

***

{"formula": "K3Hg7Bi2", "functional": "PBE-GGA", "state": "relaxed", "delta_e_f_mev_per_atom": -165, "m_tot_mub_per_cell": 0.00, "space_group": "P2/m", "n_ef_per_ev_cell": 4.2, "cell": [[-3.9623, 2.8971, 0.5675], [-1.3160, -2.8869, 5.5494], [10.9747, 16.5836, -8.0365]], "species": ["K", "K", "K", "Hg", "Hg", "Hg", "Hg", "Hg", "Hg", "Hg", "Bi", "Bi"], "frac_coords": [[0.5000, 0.5000, 0.0000], [0.5000, 0.9643, 0.3742], [0.5000, 0.0357, 0.6258], [0.0000, 0.2244, 0.7923], [0.0000, 0.3848, 0.5622], [0.0000, 0.0000, 0.0000], [0.0000, 0.7756, 0.2077], [0.5000, 0.2261, 0.2795], [0.5000, 0.7739, 0.7205], [0.0000, 0.6152, 0.4378], [0.0000, 0.7785, 0.8165], [0.0000, 0.2215, 0.1835]]}

***

{"formula": "KHg4Bi2", "functional": "PBE-GGA", "state": "relaxed", "delta_e_f_mev_per_atom": -72, "m_tot_mub_per_cell": 0.00, "space_group": "Cmmm", "n_ef_per_ev_cell": 2.1, "cell": [[-0.1101, -3.2353, 4.3840], [5.0979, 0.5083, 0.5032], [-3.6832, 6.3357, 4.5831]], "species": ["K", "Hg", "Hg", "Hg", "Hg", "Bi", "Bi"], "frac_coords": [[0.0000, 0.0000, 0.0000], [0.5000, 0.8085, 0.6169], [0.0000, 0.6970, 0.3940], [0.5000, 0.1915, 0.3831], [0.0000, 0.3030, 0.6060], [0.5000, 0.5941, 0.1881], [0.5000, 0.4059, 0.8119]]}

***

{"formula": "KLiHgBi", "functional": "PBE-GGA", "state": "relaxed", "delta_e_f_mev_per_atom": -225, "m_tot_mub_per_cell": 0.00, "space_group": "F-43m", "n_ef_per_ev_cell": 3.8, "cell": [[5.4645, 0.0000, 0.0000], [2.7323, 4.7324, 0.0000], [2.7323, 1.5775, 4.4618]], "species": ["K", "Li", "Bi", "Hg"], "frac_coords": [[0.2500, 0.2500, 0.2500], [0.0000, 0.0000, 0.0000], [0.7500, 0.7500, 0.7500], [0.5000, 0.5000, 0.5000]]}

***

{"formula": "KLiHg3Bi", "functional": "PBE-GGA", "state": "relaxed", "delta_e_f_mev_per_atom": -192, "m_tot_mub_per_cell": 0.00, "space_group": "Cmcm", "n_ef_per_ev_cell": 4.5, "cell": [[7.3263, 0.0000, 0.0000], [0.0000, 7.0746, 0.0000], [0.0000, -3.5373, 7.0162]], "species": ["K", "K", "Li", "Li", "Hg", "Hg", "Hg", "Hg", "Hg", "Hg", "Bi", "Bi"], "frac_coords": [[0.7500, 0.3012, 0.6024], [0.2500, 0.6988, 0.3976], [0.2500, 0.9431, 0.8862], [0.7500, 0.0569, 0.1138], [0.2500, 0.1401, 0.2802], [0.0000, 0.2628, 0.0000], [0.5000, 0.7372, 0.0000], [0.5000, 0.2628, 0.0000], [0.0000, 0.7372, 0.0000], [0.7500, 0.8599, 0.7198], [0.2500, 0.3593, 0.7186], [0.7500, 0.6407, 0.2814]]}

***

{"formula": "K2LiHgBi", "functional": "PBE-GGA", "state": "relaxed", "delta_e_f_mev_per_atom": -232, "m_tot_mub_per_cell": 0.00, "space_group": "P4/mmm", "n_ef_per_ev_cell": 0.8, "cell": [[-3.1573, -5.7032, -2.1722], [1.8997, -3.2427, 5.7524], [-4.5029, 1.5859, 2.3811]], "species": ["K", "K", "Li", "Bi", "Hg"], "frac_coords": [[0.0000, 0.5000, 0.0000], [0.5000, 0.0000, 0.0000], [0.0000, 0.0000, 0.5000], [0.0000, 0.0000, 0.0000], [0.5000, 0.5000, 0.5000]]}

***

| no. | calculated density (g cm⁻³) |
| --- | --- |
| 1 | 6.0 |
| 2 | 8.5 |
| 3 | 8.6 |
| 4 | 7.6 |
| 5 | 9.0 |
| 6 | 6.6 |
| 7 | 7.8 |
| 8 | 3.3 |